This record from OQMD describes a relaxed structure of HgSb2As. The functional is PBE.

Properties
**Total energy**: -12.0 eV per formula unit

Lattice parameters (Å, degrees): 5.187 5.187 5.187 60.00 60.00 60.00
Atoms (fractional coordinates):
1 Hg 0.000 0.000 0.000
2 Sb 0.250 0.250 0.250
3 Sb 0.500 0.500 0.500
4 As 0.750 0.750 0.750